No. 1
Zr2IrCl at its PBEsol-relaxed geometry. Source: the Alexandria database, functional SCAN.

a b c (Å): 6.5696 6.5696 6.5696
angles (deg): 90.00 90.00 90.00
Space group Fm-3m (No. 225)
Asymmetric unit:
Zr (0.2500, 0.2500, 0.2500) (multiplicity 8)
Ir (0.0000, 0.0000, 0.0000) (multiplicity 4)
Cl (0.0000, 0.0000, 0.5000) (multiplicity 4)

Output
E above lowest polymorph ... 130.5 kJ/mol of formula units
Raw formation energy ... -0.58 eV/atom

***

No. 2
TaPCl2 at its PBEsol-relaxed geometry. Source: the Alexandria database, functional SCAN.

a b c (Å): 4.1166 4.1166 7.3477
angles (deg): 90.00 90.00 90.00
Space group I4/mmm (No. 139)
Asymmetric unit:
Ta (0.0000, 0.0000, 0.0000) (multiplicity 2)
P (0.0000, 0.0000, 0.5000) (multiplicity 2)
Cl (0.0000, 0.5000, 0.2500) (multiplicity 4)

Output
E above lowest polymorph ... 466.5 kJ/mol of formula units
Raw formation energy ... 0.62 eV/atom

***

No. 3
YAl3 at its PBEsol-relaxed geometry. Source: the Alexandria database, functional SCAN.

a b c (Å): 6.1192 6.1192 21.0671
angles (deg): 90.00 90.00 120.00
Space group R-3m (No. 166, hexagonal axes)
Asymmetric unit:
Y (0.0000, 0.0000, 0.0000) (multiplicity 3)
Y (0.0000, 0.0000, 0.2186) (multiplicity 6)
Al (0.0000, 0.5000, 0.0000) (multiplicity 9)
Al (0.0365, 0.5183, 0.2229) (multiplicity 18)

Output
ΔE_f ... -0.458 eV/atom

***

No. 4
Zr2Si2Os at its PBEsol-relaxed geometry. Source: the Alexandria database, functional SCAN.

a b c (Å): 6.2923 6.2923 4.1192
angles (deg): 90.00 90.00 90.00
Space group P4/mbm (No. 127)
Asymmetric unit:
Zr (0.1737, 0.3263, 0.0000) (multiplicity 4)
Si (0.1351, 0.6351, 0.5000) (multiplicity 4)
Os (0.0000, 0.0000, 0.5000) (multiplicity 2)

Output
Raw formation energy ... -0.95 eV/atom

***

No. 5
TcBiBr2 at its PBEsol-relaxed geometry. Source: the Alexandria database, functional SCAN.

a b c (Å): 8.7865 8.7865 5.2661
angles (deg): 90.00 90.00 90.00
Space group I-42d (No. 122)
Asymmetric unit:
Tc (0.0000, 0.0000, 0.0000) (multiplicity 4)
Bi (0.0000, 0.0000, 0.5000) (multiplicity 4)
Br (0.1276, 0.2500, 0.1250) (multiplicity 8)

Output
Raw formation energy ... 0.22 eV/atom

***

No. 6
Nb3IrO at its PBEsol-relaxed geometry. Source: the Alexandria database, functional SCAN.

a b c (Å): 4.1798 4.1798 4.1798
angles (deg): 90.00 90.00 90.00
Space group Pm-3m (No. 221)
Asymmetric unit:
Nb (0.0000, 0.0000, 0.5000) (multiplicity 3)
Ir (0.5000, 0.5000, 0.5000) (multiplicity 1)
O (0.0000, 0.0000, 0.0000) (multiplicity 1)

Output
Raw formation energy ... -0.88 eV/atom